Entry 1:
DFT (PBE-GGA) results for a relaxed structure of Tb2CuAu3.

Structure (POSCAR):
```
Tb2CuAu3
1.0
-3.662 0.657 -0.222
-0.650 -2.838 2.326
0.582 5.607 7.003
Au Cu Tb
3 1 2
Direct
0.500 0.500 0.337
0.500 0.500 0.676
0.000 0.000 0.157
0.000 0.000 0.829
0.000 0.000 0.502
0.500 0.500 0.999
```

Results
Its total energy is -26.96 eV/cell. The volume comes out at 20.8 Å³ per atom. The value obtained for the formation energy is -0.70 eV per atom.



Entry 2:
DFT (PBE-GGA) results for a relaxed structure of CuTe5Au3.

Structure (POSCAR):
```
CuTe5Au3
1.0
-2.580 -0.370 -5.022
4.389 -3.370 1.181
-5.593 -6.120 3.323
Au Te Cu
3 5 1
Direct
0.500 0.000 0.500
0.500 0.500 0.500
0.000 0.500 0.500
0.333 0.667 0.159
0.667 0.333 0.159
0.667 0.333 0.841
0.333 0.667 0.841
0.000 0.000 0.500
0.000 0.000 0.000
```

Results
Its total energy is -25.85 eV/cell. The volume comes out at 27.5 Å³ per atom.



Entry 3:
DFT (PBE-GGA) results for a relaxed structure of Th2CuAu3.

Structure (POSCAR):
```
Th2CuAu3
1.0
3.482 0.000 0.000
0.000 4.686 0.000
0.000 0.000 8.197
Cu Au Th
1 3 2
Direct
0.500 0.500 0.329
0.500 0.000 0.838
0.500 0.500 0.650
0.500 0.000 0.181
0.000 0.000 0.498
0.000 0.500 0.004
```

Results
Its total energy is -32.01 eV/cell. The volume comes out at 22.3 Å³ per atom. The value obtained for the formation energy is -0.61 eV per atom.



Entry 4:
DFT (PBE-GGA) results for a relaxed structure of Tm3Tl2ZnCuAu2.

Structure (POSCAR):
```
Tm3Tl2ZnCuAu2
1.0
3.749 0.000 0.000
0.000 6.724 3.839
0.000 -6.724 3.839
Tl Tm Au Cu Zn
2 3 2 1 1
Direct
0.500 0.751 0.999
0.500 0.999 0.751
0.000 0.577 0.577
0.000 0.003 0.400
0.000 0.400 0.003
0.500 0.653 0.328
0.500 0.328 0.653
0.000 0.031 0.031
0.500 0.257 0.257
```

Results
Its total energy is -34.43 eV/cell. The volume comes out at 21.5 Å³ per atom.



Entry 5:
DFT (PBE-GGA) results for a relaxed structure of TlZnCuAu.

Structure (POSCAR):
```
TlZnCuAu
1.0
1.555 -4.063 -1.649
1.891 -3.114 2.893
-2.274 -3.936 0.991
Au Cu Tl Zn
1 1 1 1
Direct
0.500 0.500 0.500
0.750 0.750 0.750
0.000 0.000 0.000
0.250 0.250 0.250
```

Results
Its total energy is -10.06 eV/cell. The volume comes out at 17.8 Å³ per atom. The energy relative to the lowest polymorph listed for this composition comes out at 0.000 eV per atom.



Entry 6:
DFT (PBE-GGA) results for a relaxed structure of ZrTlCuAu.

Structure (POSCAR):
```
ZrTlCuAu
1.0
0.107 -1.562 4.490
-1.002 2.971 3.575
-4.050 -0.498 2.441
Tl Cu Au Zr
1 1 1 1
Direct
0.000 0.000 0.000
0.750 0.750 0.750
0.500 0.500 0.500
0.250 0.250 0.250
```

Results
Its total energy is -18.21 eV/cell. The volume comes out at 19.0 Å³ per atom. The energy relative to the lowest polymorph listed for this composition comes out at 0.025 eV per atom.



Entry 7:
DFT (PBE-GGA) results for a relaxed structure of ZrTlCuAu.

Structure (POSCAR):
```
ZrTlCuAu
1.0
-1.123 -4.237 -1.840
-4.428 -0.836 -1.513
-0.884 -0.412 -4.652
Zr Cu Tl Au
1 1 1 1
Direct
0.500 0.500 0.500
0.750 0.750 0.750
0.000 0.000 0.000
0.250 0.250 0.250
```

Results
Its total energy is -18.31 eV/cell. The volume comes out at 19.0 Å³ per atom. The energy relative to the lowest polymorph listed for this composition comes out at 0.000 eV per atom.



Entry 8:
DFT (PBE-GGA) results for a relaxed structure of TmCuAu.

Structure (POSCAR):
```
TmCuAu
1.0
0.000 3.271 3.271
3.271 0.000 3.271
3.271 3.271 0.000
Au Tm Cu
1 1 1
Direct
0.250 0.250 0.250
0.000 0.000 0.000
0.750 0.750 0.750
```

Results
Its total energy is -11.86 eV/cell. The volume comes out at 23.3 Å³ per atom. The value obtained for the formation energy is -0.13 eV per atom.



Entry 9:
DFT (PBE-GGA) results for a relaxed structure of Tm2CuAu3.

Structure (POSCAR):
```
Tm2CuAu3
1.0
-2.184 -2.482 -1.582
2.473 -2.616 0.690
-3.871 -1.591 7.840
Cu Tm Au
1 2 3
Direct
0.000 0.000 0.170
0.500 0.500 0.002
0.000 0.000 0.497
0.000 0.000 0.845
0.500 0.500 0.324
0.500 0.500 0.662
```

Results
Its total energy is -26.87 eV/cell. The volume comes out at 19.9 Å³ per atom. The value obtained for the formation energy is -0.73 eV per atom.



Entry 10:
DFT (PBE-GGA) results for a relaxed structure of TmCu4Au.

Structure (POSCAR):
```
TmCu4Au
1.0
1.978 0.402 4.575
1.633 4.434 1.637
-2.497 2.410 3.600
Cu Tm Au
4 1 1
Direct
0.626 0.626 0.123
0.626 0.626 0.626
0.626 0.123 0.626
0.123 0.626 0.626
0.250 0.250 0.250
0.000 0.000 0.000
```

Results
Its total energy is -24.74 eV/cell. The volume comes out at 14.7 Å³ per atom. The value obtained for the formation energy is -0.36 eV per atom.



Entry 11:
DFT (PBE-GGA) results for a relaxed structure of Tm2Cu3Au.

Structure (POSCAR):
```
Tm2Cu3Au
1.0
3.527 0.000 0.000
0.000 3.527 0.000
0.000 0.000 8.669
Tm Cu Au
2 3 1
Direct
0.500 0.500 0.495
0.000 0.000 0.006
0.000 0.000 0.329
0.500 0.500 0.177
0.000 0.000 0.662
0.500 0.500 0.831
```

Results
Its total energy is -25.71 eV/cell. The volume comes out at 18.0 Å³ per atom. The value obtained for the formation energy is -0.39 eV per atom.



Entry 12:
DFT (PBE-GGA) results for a relaxed structure of CuWAu2.

Structure (POSCAR):
```
CuWAu2
1.0
0.000 3.170 3.170
3.170 0.000 3.170
3.170 3.170 0.000
Au W Cu
2 1 1
Direct
0.000 0.000 0.000
0.750 0.750 0.750
0.500 0.500 0.500
0.250 0.250 0.250
```

Results
Its total energy is -21.05 eV/cell. The volume comes out at 15.9 Å³ per atom. The value obtained for the formation energy is 0.54 eV per atom.